Entry from the Alexandria database: a relaxed structure of Ba2LiCo (PBE).

a = 3.888 Å, b = 3.888 Å, c = 8.943 Å
α = 90.00°, β = 90.00°, γ = 90.12°
Fractional positions:
Ba (0.000, 0.000, 0.204)
Ba (0.000, 0.000, 0.796)
Li (0.500, 0.500, 0.500)
Co (0.500, 0.500, 0.000)

Calculated values
As for the energy above the most stable polymorph in this dataset: 0 meV per atom. The calculation puts the formation energy at 0.34 eV/atom. The calculation puts the spin magnetization at 0.544 μB/f.u.


Entry from the Alexandria database: a relaxed structure of Ba2LiCo (PBE).

a = 4.388 Å, b = 4.388 Å, c = 9.862 Å
α = 99.94°, β = 99.94°, γ = 56.13°
Fractional positions:
Ba (0.228, 0.228, 0.186)
Ba (0.772, 0.772, 0.814)
Li (0.000, 0.000, 0.500)
Co (0.500, 0.500, 0.000)

Calculated values
As for the energy above the most stable polymorph in this dataset: 77 meV per atom. The calculation puts the formation energy at 0.42 eV/atom. The calculation puts the spin magnetization at 0.458 μB/f.u.


Entry from the Alexandria database: a relaxed structure of Ba2LiCo (PBE).

a = 8.340 Å, b = 8.340 Å, c = 8.340 Å
α = 94.98°, β = 94.98°, γ = 145.74°
Fractional positions:
Ba (0.375, 0.190, 0.315)
Ba (0.810, 0.125, 0.185)
Ba (0.875, 0.060, 0.685)
Ba (0.940, 0.625, 0.815)
Li (0.250, 0.750, 0.500)
Li (0.500, 0.500, 0.000)
Co (0.000, 0.000, 0.000)
Co (0.750, 0.250, 0.500)

Calculated values
As for the energy above the most stable polymorph in this dataset: 64 meV per atom. The calculation puts the formation energy at 0.41 eV/atom. The calculation puts the spin magnetization at 0.000 μB/f.u.


Entry from the Alexandria database: a relaxed structure of Ba2LiCo (PBE).

a = 6.506 Å, b = 6.506 Å, c = 6.506 Å
α = 136.25°, β = 136.25°, γ = 63.59°
Fractional positions:
Ba (0.000, 0.000, 0.000)
Ba (0.750, 0.250, 0.500)
Li (0.500, 0.500, 0.000)
Co (0.250, 0.750, 0.500)

Calculated values
As for the energy above the most stable polymorph in this dataset: 202 meV per atom. The calculation puts the formation energy at 0.55 eV/atom. The calculation puts the spin magnetization at 0.810 μB/f.u.


Entry from the Alexandria database: a relaxed structure of Ba2LiCo (PBE).

a = 7.188 Å, b = 7.188 Å, c = 7.188 Å
α = 149.36°, β = 135.09°, γ = 55.35°
Fractional positions:
Ba (0.000, 0.000, 0.000)
Ba (0.696, 0.196, 0.500)
Li (0.354, 0.354, 0.000)
Co (0.202, 0.702, 0.500)

Calculated values
As for the energy above the most stable polymorph in this dataset: 67 meV per atom. The calculation puts the formation energy at 0.41 eV/atom. The calculation puts the spin magnetization at 0.458 μB/f.u.


Entry from the Alexandria database: a relaxed structure of Ba4LiCo (PBE).

a = 7.406 Å, b = 7.406 Å, c = 7.406 Å
α = 60.00°, β = 60.00°, γ = 60.00°
Fractional positions:
Ba (0.124, 0.124, 0.124)
Ba (0.124, 0.124, 0.628)
Ba (0.124, 0.628, 0.124)
Ba (0.628, 0.124, 0.124)
Li (0.500, 0.500, 0.500)
Co (0.750, 0.750, 0.750)

Calculated values
The calculation puts the formation energy at 0.89 eV/atom. The calculation puts the spin magnetization at 0.578 μB/f.u.


Entry from the Alexandria database: a relaxed structure of Ba2LiCo (PBE).

a = 3.808 Å, b = 3.808 Å, c = 8.830 Å
α = 90.00°, β = 90.00°, γ = 90.00°
Fractional positions:
Ba (0.000, 0.000, 0.000)
Ba (0.500, 0.500, 0.432)
Li (0.500, 0.500, 0.758)
Co (0.000, 0.000, 0.670)

Calculated values
As for the energy above the most stable polymorph in this dataset: 81 meV per atom. The calculation puts the formation energy at 0.42 eV/atom. The calculation puts the spin magnetization at 0.651 μB/f.u.


Entry from the Alexandria database: a relaxed structure of Ba2LiCo (PBE).

a = 4.699 Å, b = 6.693 Å, c = 6.693 Å
α = 40.51°, β = 90.00°, γ = 90.00°
Fractional positions:
Ba (0.000, 0.000, 0.000)
Ba (0.500, 0.277, 0.277)
Li (0.000, 0.687, 0.687)
Co (0.500, 0.591, 0.591)

Calculated values
As for the energy above the most stable polymorph in this dataset: 5 meV per atom. The calculation puts the formation energy at 0.35 eV/atom. The calculation puts the spin magnetization at 0.434 μB/f.u.


Which value of spin magnetization does entry 8 give? 0.434 μB/f.u.